[1]
{
  "formula": "As2Os",
  "functional": "PBE",
  "state": "relaxed",
  "space_group": "Cmcm",
  "delta_e_f_mev_per_atom": 84,
  "dos_at_fermi_per_ev_atom": 0.43,
  "energy_ev_per_atom": -6.759,
  "mass_density_g_cm3": 9.734,
  "lattice": [[1.528, -7.970, 0.000], [1.528, 7.970, 0.000], [0.000, 0.000, 4.764]],
  "species": ["As", "As", "As", "As", "Os", "Os"],
  "frac_coords": [[0.040, 0.960, 0.750], [0.291, 0.709, 0.750], [0.709, 0.291, 0.250], [0.960, 0.040, 0.250], [0.338, 0.662, 0.250], [0.662, 0.338, 0.750]]
}

[2]
{
  "formula": "As2Os",
  "functional": "PBE",
  "state": "relaxed",
  "space_group": "Pnma",
  "delta_e_f_mev_per_atom": 32,
  "dos_at_fermi_per_ev_atom": 0.34,
  "energy_ev_per_atom": -6.811,
  "mass_density_g_cm3": 10.912,
  "lattice": [[8.975, 0.000, 0.000], [0.000, 3.188, 0.000], [0.000, 0.000, 7.234]],
  "species": ["As", "As", "As", "As", "As", "As", "As", "As", "Os", "Os", "Os", "Os"],
  "frac_coords": [[0.111, 0.250, 0.079], [0.112, 0.250, 0.609], [0.388, 0.750, 0.109], [0.389, 0.750, 0.579], [0.611, 0.250, 0.421], [0.612, 0.250, 0.891], [0.888, 0.750, 0.391], [0.889, 0.750, 0.921], [0.176, 0.750, 0.348], [0.324, 0.250, 0.848], [0.676, 0.750, 0.152], [0.824, 0.250, 0.652]]
}

Repeat the first record exactly.
{
  "formula": "As2Os",
  "functional": "PBE",
  "state": "relaxed",
  "space_group": "Cmcm",
  "delta_e_f_mev_per_atom": 84,
  "dos_at_fermi_per_ev_atom": 0.43,
  "energy_ev_per_atom": -6.759,
  "mass_density_g_cm3": 9.734,
  "lattice": [[1.528, -7.970, 0.000], [1.528, 7.970, 0.000], [0.000, 0.000, 4.764]],
  "species": ["As", "As", "As", "As", "Os", "Os"],
  "frac_coords": [[0.040, 0.960, 0.750], [0.291, 0.709, 0.750], [0.709, 0.291, 0.250], [0.960, 0.040, 0.250], [0.338, 0.662, 0.250], [0.662, 0.338, 0.750]]
}